No. 1
# MnBrO

A relaxed MnBrO crystal (GGA+U, Alexandria via LeMat-Bulk).

Lattice parameters (Å, degrees): 3.351 3.351 6.057 90.00 90.00 120.00
Last column: magnetic moment on the atom in μB.
Fractional coordinates of all 3 atoms:
Br (0.000, 0.000, 0.088)  -0.19
Mn (0.667, 0.333, 0.405)  4.23
O (0.333, 0.667, 0.507)  -0.14

Output
- SG = P3m1, No. 156
- ρ (kg/m3) = 4253
- electronic total energy (eV for the cell shown) = -16.82

---

No. 2
# Mn15Br6O20

A relaxed Mn15Br6O20 crystal (GGA+U, Alexandria via LeMat-Bulk).

Lattice parameters (Å, degrees): 9.432 9.432 9.432 60.00 60.00 60.00
Last column: magnetic moment on the atom in μB.
Fractional coordinates of all 41 atoms:
Mn (0.350, 0.000, 0.000)  3.87
Mn (0.750, 0.750, 0.750)  3.68
Mn (0.000, 0.650, 0.350)  3.87
Mn (0.000, 0.000, 0.000)  4.64
Mn (0.650, 0.350, 0.000)  3.87
Mn (0.250, 0.250, 0.250)  3.68
Mn (0.000, 0.000, 0.650)  3.87
Mn (0.650, 0.000, 0.350)  3.87
Mn (0.000, 0.650, 0.000)  3.87
Mn (0.350, 0.650, 0.000)  3.87
Mn (0.000, 0.350, 0.650)  3.87
Mn (0.000, 0.000, 0.350)  3.87
Mn (0.350, 0.000, 0.650)  3.87
Mn (0.650, 0.000, 0.000)  3.87
Mn (0.000, 0.350, 0.000)  3.87
O (0.100, 0.100, 0.100)  -0.10
O (0.100, 0.701, 0.100)  -0.10
O (0.598, 0.598, 0.902)  -0.08
O (0.902, 0.598, 0.598)  -0.08
O (0.900, 0.900, 0.900)  -0.10
O (0.900, 0.900, 0.299)  -0.10
O (0.598, 0.902, 0.598)  -0.08
O (0.900, 0.299, 0.900)  -0.10
O (0.098, 0.402, 0.098)  -0.08
O (0.902, 0.902, 0.598)  -0.08
O (0.902, 0.598, 0.902)  -0.08
O (0.100, 0.100, 0.701)  -0.10
O (0.098, 0.098, 0.402)  -0.08
O (0.098, 0.402, 0.402)  -0.08
O (0.402, 0.402, 0.098)  -0.08
O (0.701, 0.100, 0.100)  -0.10
O (0.402, 0.098, 0.098)  -0.08
O (0.299, 0.900, 0.900)  -0.10
O (0.402, 0.098, 0.402)  -0.08
O (0.598, 0.902, 0.902)  -0.08
Br (0.300, 0.300, 0.700)  0.08
Br (0.700, 0.300, 0.700)  0.08
Br (0.700, 0.300, 0.300)  0.08
Br (0.700, 0.700, 0.300)  0.08
Br (0.300, 0.700, 0.700)  0.08
Br (0.300, 0.700, 0.300)  0.08

Output
- SG = Fm-3m, No. 225
- ρ (kg/m3) = 4544
- electronic total energy (eV for the cell shown) = -278.75

---

No. 3
# MnBrO

A relaxed MnBrO crystal (GGA+U, Alexandria via LeMat-Bulk).

Lattice parameters (Å, degrees): 3.638 5.762 12.456 90.00 90.00 90.00
Last column: magnetic moment on the atom in μB.
Fractional coordinates of all 12 atoms:
O (0.250, 0.909, 0.059)  -0.14
O (0.750, 0.591, 0.559)  -0.14
O (0.750, 0.091, 0.941)  -0.14
O (0.250, 0.409, 0.441)  -0.14
Br (0.250, 0.548, 0.864)  -0.03
Br (0.750, 0.452, 0.136)  -0.03
Br (0.750, 0.952, 0.364)  -0.03
Br (0.250, 0.048, 0.636)  -0.03
Mn (0.250, 0.193, 0.975)  4.04
Mn (0.750, 0.807, 0.025)  4.04
Mn (0.750, 0.307, 0.475)  4.04
Mn (0.250, 0.693, 0.525)  4.04

Output
- SG = Pnma, No. 62
- ρ (kg/m3) = 3837
- electronic total energy (eV for the cell shown) = -69.26

---

No. 4
# Mn3BrO3

A relaxed Mn3BrO3 crystal (GGA+U, Alexandria via LeMat-Bulk).

Lattice parameters (Å, degrees): 6.051 6.051 8.111 68.10 68.10 60.00
Last column: magnetic moment on the atom in μB.
Fractional coordinates of all 14 atoms:
O (0.797, 0.430, 0.640)  -0.03
O (0.133, 0.797, 0.640)  -0.03
O (0.867, 0.203, 0.360)  -0.03
O (0.203, 0.570, 0.360)  -0.03
O (0.430, 0.133, 0.640)  -0.03
O (0.570, 0.867, 0.360)  -0.03
Mn (0.232, 0.903, 0.327)  4.47
Mn (0.538, 0.232, 0.327)  4.47
Mn (0.462, 0.768, 0.673)  4.47
Mn (0.097, 0.462, 0.673)  4.47
Mn (0.768, 0.097, 0.673)  4.47
Mn (0.903, 0.538, 0.327)  4.47
Br (0.677, 0.677, 0.969)  0.00
Br (0.323, 0.323, 0.031)  0.00

Output
- SG = R-3, No. 148
- ρ (kg/m3) = 4188
- electronic total energy (eV for the cell shown) = -96.76

---

What did the third record say?
# MnBrO

A relaxed MnBrO crystal (GGA+U, Alexandria via LeMat-Bulk).

Lattice parameters (Å, degrees): 3.638 5.762 12.456 90.00 90.00 90.00
Last column: magnetic moment on the atom in μB.
Fractional coordinates of all 12 atoms:
O (0.250, 0.909, 0.059)  -0.14
O (0.750, 0.591, 0.559)  -0.14
O (0.750, 0.091, 0.941)  -0.14
O (0.250, 0.409, 0.441)  -0.14
Br (0.250, 0.548, 0.864)  -0.03
Br (0.750, 0.452, 0.136)  -0.03
Br (0.750, 0.952, 0.364)  -0.03
Br (0.250, 0.048, 0.636)  -0.03
Mn (0.250, 0.193, 0.975)  4.04
Mn (0.750, 0.807, 0.025)  4.04
Mn (0.750, 0.307, 0.475)  4.04
Mn (0.250, 0.693, 0.525)  4.04

Output
- SG = Pnma, No. 62
- ρ (kg/m3) = 3837
- electronic total energy (eV for the cell shown) = -69.26

---

Copy entry 2 word for word.
# Mn15Br6O20

A relaxed Mn15Br6O20 crystal (GGA+U, Alexandria via LeMat-Bulk).

Lattice parameters (Å, degrees): 9.432 9.432 9.432 60.00 60.00 60.00
Last column: magnetic moment on the atom in μB.
Fractional coordinates of all 41 atoms:
Mn (0.350, 0.000, 0.000)  3.87
Mn (0.750, 0.750, 0.750)  3.68
Mn (0.000, 0.650, 0.350)  3.87
Mn (0.000, 0.000, 0.000)  4.64
Mn (0.650, 0.350, 0.000)  3.87
Mn (0.250, 0.250, 0.250)  3.68
Mn (0.000, 0.000, 0.650)  3.87
Mn (0.650, 0.000, 0.350)  3.87
Mn (0.000, 0.650, 0.000)  3.87
Mn (0.350, 0.650, 0.000)  3.87
Mn (0.000, 0.350, 0.650)  3.87
Mn (0.000, 0.000, 0.350)  3.87
Mn (0.350, 0.000, 0.650)  3.87
Mn (0.650, 0.000, 0.000)  3.87
Mn (0.000, 0.350, 0.000)  3.87
O (0.100, 0.100, 0.100)  -0.10
O (0.100, 0.701, 0.100)  -0.10
O (0.598, 0.598, 0.902)  -0.08
O (0.902, 0.598, 0.598)  -0.08
O (0.900, 0.900, 0.900)  -0.10
O (0.900, 0.900, 0.299)  -0.10
O (0.598, 0.902, 0.598)  -0.08
O (0.900, 0.299, 0.900)  -0.10
O (0.098, 0.402, 0.098)  -0.08
O (0.902, 0.902, 0.598)  -0.08
O (0.902, 0.598, 0.902)  -0.08
O (0.100, 0.100, 0.701)  -0.10
O (0.098, 0.098, 0.402)  -0.08
O (0.098, 0.402, 0.402)  -0.08
O (0.402, 0.402, 0.098)  -0.08
O (0.701, 0.100, 0.100)  -0.10
O (0.402, 0.098, 0.098)  -0.08
O (0.299, 0.900, 0.900)  -0.10
O (0.402, 0.098, 0.402)  -0.08
O (0.598, 0.902, 0.902)  -0.08
Br (0.300, 0.300, 0.700)  0.08
Br (0.700, 0.300, 0.700)  0.08
Br (0.700, 0.300, 0.300)  0.08
Br (0.700, 0.700, 0.300)  0.08
Br (0.300, 0.700, 0.700)  0.08
Br (0.300, 0.700, 0.300)  0.08

Output
- SG = Fm-3m, No. 225
- ρ (kg/m3) = 4544
- electronic total energy (eV for the cell shown) = -278.75

---

> Among the records above, which one has the highest electronic total energy?

number 1

---

> Number 1 is which compound?

MnBrO